Entry 1:
MgTi2P2O10 | SCAN | single point on PBEsol structure

VASP energy = -10.980 eV/atom
Magnetization = 0.0 μB per formula unit

Cell lengths 7.360, 7.312, 7.430 Å; angles 90.00, 90.00, 119.37 degrees
Fractional coordinates of all 30 atoms:
Mg 0.000 0.000 0.000
Mg 0.000 0.500 0.500
Ti 0.734 0.709 0.724
Ti 0.266 0.291 0.276
Ti 0.734 0.209 0.776
Ti 0.266 0.791 0.224
P 0.244 0.995 0.621
P 0.244 0.495 0.879
P 0.756 0.005 0.379
P 0.756 0.505 0.121
O 0.556 0.427 0.232
O 0.059 0.413 0.748
O 0.059 0.913 0.752
O 0.258 0.178 0.508
O 0.556 0.927 0.268
O 0.214 0.813 0.496
O 0.941 0.087 0.248
O 0.786 0.187 0.504
O 0.769 0.497 0.663
O 0.769 0.997 0.837
O 0.786 0.687 0.996
O 0.258 0.678 0.992
O 0.231 0.503 0.337
O 0.742 0.822 0.492
O 0.444 0.573 0.768
O 0.231 0.003 0.163
O 0.214 0.313 0.004
O 0.444 0.073 0.732
O 0.941 0.587 0.252
O 0.742 0.322 0.008

***

Entry 2:
NaTl | SCAN | single point on PBEsol structure

Formation energy from the elements = -0.175 eV per atom
Magnetization = 0.0 μB per formula unit

Cell lengths 5.147, 5.147, 10.117 Å; angles 90.00, 90.00, 120.00 degrees
Fractional coordinates of all 8 atoms:
Na 0.333 0.667 0.079
Na 0.667 0.333 0.921
Na 0.667 0.333 0.579
Na 0.333 0.667 0.421
Tl 0.000 0.000 0.250
Tl 0.000 0.000 0.750
Tl 0.333 0.667 0.750
Tl 0.667 0.333 0.250

***

Entry 3:
Ca3AsW | SCAN | single point on PBEsol structure

Formation energy from the elements = 0.539 eV per atom
Magnetization = 5.9 μB per formula unit

Cell lengths 5.473, 5.473, 5.473 Å; angles 90.00, 90.00, 90.00 degrees
Site moments in Bohr magnetons follow the coordinates.
Fractional coordinates of all 5 atoms:
As 0.000 0.000 0.000  0.06
Ca 0.000 0.500 0.000  0.06
Ca 0.000 0.000 0.500  0.06
Ca 0.500 0.000 0.000  0.06
W 0.500 0.500 0.500  3.32

***

Repeat the second record exactly.
NaTl | SCAN | single point on PBEsol structure

Formation energy from the elements = -0.175 eV per atom
Magnetization = 0.0 μB per formula unit

Cell lengths 5.147, 5.147, 10.117 Å; angles 90.00, 90.00, 120.00 degrees
Fractional coordinates of all 8 atoms:
Na 0.333 0.667 0.079
Na 0.667 0.333 0.921
Na 0.667 0.333 0.579
Na 0.333 0.667 0.421
Tl 0.000 0.000 0.250
Tl 0.000 0.000 0.750
Tl 0.333 0.667 0.750
Tl 0.667 0.333 0.250

***

Look up the magnetization of the third one.
5.9 μB per formula unit